1.
Below is a relaxed Tb2DyAg crystal, with properties calculated at the PBE level.

Lattice parameters (Å, degrees): 3.5877 3.5877 10.5976 80.25 80.25 60.00
Sites, in units of the cell vectors:
1 Ag 0.6669 0.6669 0.9993
2 Tb 0.0750 0.0750 0.7749
3 Tb 0.2583 0.2583 0.2252
4 Dy 0.4998 0.4998 0.5006

For the distance to the lowest polymorph of the same formula, the calculation gives 11.2 kJ per mole of atoms. Its final energy is -0.30782 Ry per atom. For the formation energy, the calculation gives -0.01 eV per atom.

2.
Below is a relaxed Tb3Dy2Ag2 crystal, with properties calculated at the PBE level.

Lattice parameters (Å, degrees): 3.6051 3.6058 15.0780 83.12 83.13 90.00
Sites, in units of the cell vectors:
1 Tb 0.0000 0.0000 0.0000
2 Tb 0.8750 0.8742 0.2499
3 Tb 0.1250 0.1258 0.7501
4 Dy 0.7090 0.7091 0.5821
5 Dy 0.2910 0.2909 0.4179
6 Ag 0.4377 0.4370 0.1247
7 Ag 0.5623 0.5630 0.8753

For the distance to the lowest polymorph of the same formula, the calculation gives 0.0 kJ per mole of atoms. Its final energy is -0.31444 Ry per atom. For the formation energy, the calculation gives -0.16 eV per atom.

3.
Below is a relaxed Tb3DyAg crystal, with properties calculated at the PBE level.

Lattice parameters (Å, degrees): 6.7120 6.7120 8.5582 89.26 120.18 112.06
Sites, in units of the cell vectors:
1 Dy 0.6837 0.0574 0.7411
2 Dy 0.3163 0.9426 0.2589
3 Tb 0.2636 0.0852 0.8493
4 Tb 0.2359 0.4144 0.1507
5 Tb 0.8163 0.4433 0.2596
6 Tb 0.7641 0.5856 0.8493
7 Tb 0.7363 0.9148 0.1507
8 Tb 0.1837 0.5567 0.7404
9 Ag 0.7481 0.7517 0.4998
10 Ag 0.2519 0.2483 0.5002

Its final energy is -0.31371 Ry per atom. For the formation energy, the calculation gives 0.00 eV per atom.

4.
Below is a relaxed Tb3DyAg4 crystal, with properties calculated at the PBE level.

Lattice parameters (Å, degrees): 3.6443 3.6443 14.6123 90.00 90.00 90.00
Sites, in units of the cell vectors:
1 Ag 0.0000 0.0000 0.1237
2 Ag 0.0000 0.0000 0.6252
3 Ag 0.0000 0.0000 0.3748
4 Ag 0.0000 0.0000 0.8763
5 Tb 0.5000 0.5000 0.2493
6 Tb 0.5000 0.5000 0.7507
7 Tb 0.5000 0.5000 0.5000
8 Dy 0.5000 0.5000 0.0000

Its final energy is -0.29786 Ry per atom. For the formation energy, the calculation gives -0.32 eV per atom.

Number 1: DOS(E_F) 1.3152 states/eV per atom. Number 2: DOS(E_F) 0.9695 states/eV per atom. Number 3: DOS(E_F) 1.0162 states/eV per atom. Number 4: DOS(E_F) 0.7255 states/eV per atom.